(A)
# SrSmPd

A relaxed structure of SrSmPd (GGA-PBE, the Alexandria database).

Summary:
DOS at the Fermi energy: 1.11 states/eV/f.u.
magnetization: 0.00 μB per formula unit

a = 8.0914 Å, b = 4.6747 Å, c = 11.7413 Å
α = 90.00°, β = 103.33°, γ = 90.00°
With the nearest neighbours (Å) after each atom.
Space group C2/m (No. 12)
Asymmetric unit:
Sr 0.1149 0.0000 0.3424  3 Pd 3.27
Sm 0.2003 0.5000 0.1003  3 Pd 2.85
Pd 0.1059 0.5000 0.8189  3 Sm 2.85

(B)
# SrSmPd

A relaxed structure of SrSmPd (GGA-PBE, the Alexandria database).

Summary:
DOS at the Fermi energy: 2.96 states/eV/f.u.
magnetization: 0.00 μB per formula unit

a = 3.7078 Å, b = 3.7078 Å, c = 13.5318 Å
α = 90.00°, β = 90.00°, γ = 90.00°
With the nearest neighbours (Å) after each atom.
Space group I4mm (No. 107)
Asymmetric unit:
Sr 0.0000 0.0000 0.0000  4 Pd 3.36, 1 Sm 3.52, 4 Sr 3.71
Sm 0.0000 0.0000 0.2598  4 Pd 2.98
Pd 0.0000 0.0000 0.6548  4 Sm 2.98

Calculated relative energies: (A) 0.0; (B) 2.9, given in kJ/mol of atoms